Here is a relaxed structure of KAs from Alexandria via LeMat-Bulk. Energies are from PBE.

## Properties
Spin magnetization = 0.0 μB/f.u.
Energy above the lowest structure with this stoichiometry = 1.30 eV/f.u.
ΔH_f (0 K) = 0.1856 eV/atom

Geometry as CIF:
```
data_KAs
_chemical_formula_sum 'K4 As4'
_space_group_name_H-M_alt 'P 21 3'
_space_group_IT_number 198
_space_group_name_Hall 'P 2ac 2ab 3'
_cell_length_a 6.263
_cell_length_b 6.263
_cell_length_c 6.263
_cell_angle_alpha 90.00
_cell_angle_beta 90.00
_cell_angle_gamma 90.00
loop_
_atom_site_label
_atom_site_type_symbol
_atom_site_fract_x
_atom_site_fract_y
_atom_site_fract_z
_atom_site_occupancy
K1 K 0.092 0.092 0.092 1
As1 As 0.105 0.605 0.895 1
```